Record 1
Compound: SrTl2TeIr
Source: the Alexandria database
Functional: PBE
Structure: relaxed

The value obtained for the raw formation energy is -1.70 eV/f.u. The total DFT energy (no corrections) comes out at -4.02 eV/atom. As for the volume: 32.46 Å³/atom. The calculation puts the theoretical density at 8.3 g/cm3.

The structure belongs to space group P4/mmm (No. 123); the cell edges are 5.245, 5.245 and 5.900 Å and the angles 90.00°, 90.00° and 90.00°. Symmetry generates all atoms from Sr at (0.000, 0.000, 0.000), Tl at (0.000, 0.500, 0.500), Te at (0.500, 0.500, 0.000) and Ir at (0.000, 0.000, 0.500).



Record 2
Compound: Sr2TlTeIr
Source: the Alexandria database
Functional: PBE
Structure: relaxed

The value obtained for the raw formation energy is -2.87 eV/f.u. The total DFT energy (no corrections) comes out at -4.12 eV/atom. As for the volume: 34.48 Å³/atom. The calculation puts the theoretical density at 6.7 g/cm3.

The structure belongs to space group P4/mmm (No. 123); the cell edges are 5.759, 5.759 and 5.198 Å and the angles 90.00°, 90.00° and 90.00°. Symmetry generates all atoms from Sr at (0.000, 0.500, 0.000), Tl at (0.000, 0.000, 0.500), Te at (0.500, 0.500, 0.500) and Ir at (0.000, 0.000, 0.000).